Material: PmS2IO6
Method: DFT, PBE
State: relaxed

a b c (Å): 6.7840 6.7840 8.4109
angles (deg): 108.03 108.03 85.73
Fractional positions:
O (0.5775, 0.8166, 0.3734)
O (0.5506, 0.9178, 0.7801)
O (0.4494, 0.0822, 0.2199)
O (0.2891, 0.5110, 0.4378)
O (0.9178, 0.5506, 0.2801)
I (0.9255, 0.0745, 0.2500)
S (0.5793, 0.8952, 0.2259)
O (0.4890, 0.7109, 0.0622)
S (0.1048, 0.4207, 0.2741)
O (0.4225, 0.1834, 0.6266)
S (0.4207, 0.1048, 0.7741)
O (0.5110, 0.2891, 0.9378)
Pm (0.5590, 0.4410, 0.2500)
O (0.0822, 0.4494, 0.7199)
O (0.1834, 0.4225, 0.1267)
Pm (0.4410, 0.5590, 0.7500)
O (0.8166, 0.5775, 0.8734)
S (0.8952, 0.5793, 0.7259)
O (0.7109, 0.4890, 0.5622)
I (0.0745, 0.9255, 0.7500)

Summary:
Its total energy is -121.7 eV/cell. As for the symmetry: C2/c. As for the density: 4.10 g/cm³. The calculation puts the density of states at the Fermi level at 0.00 states/eV/f.u.